First-principles (SCAN) data for Li5NiP3O11 at its PBEsol-relaxed geometry, as listed in Alexandria.

Cell: 5.1948 8.3601 9.4432 Å, 84.56 89.59 86.61°
Fractional coordinates of all 40 atoms:
1 O 0.9837 0.2240 0.5809
2 Ni 0.5000 0.0000 0.5000
3 P 0.1985 0.2917 0.0166
4 O 0.3278 0.3744 0.1345
5 Li 0.7025 0.3808 0.1746
6 Li 0.4846 0.9822 0.1504
7 O 0.3286 0.5523 0.3610
8 O 0.9179 0.2501 0.0595
9 Ni 0.0000 0.0000 0.0000
10 O 0.0163 0.7760 0.4191
11 O 0.8411 0.4143 0.3813
12 P 0.0120 0.9434 0.3167
13 O 0.7259 0.9957 0.3079
14 O 0.3370 0.1252 0.9952
15 P 0.8015 0.7083 0.9834
16 O 0.5054 0.2368 0.5045
17 O 0.8150 0.9388 0.6237
18 O 0.0821 0.7499 0.9405
19 Li 0.5154 0.0178 0.8496
20 O 0.2741 0.0043 0.6921
21 O 0.6630 0.8748 0.0048
22 P 0.9880 0.0566 0.6833
23 O 0.6714 0.4477 0.6390
24 Li 0.1918 0.6050 0.1603
25 O 0.1329 0.8869 0.1793
26 P 0.7373 0.3387 0.5214
27 Li 0.8082 0.3950 0.8397
28 O 0.6722 0.6256 0.8655
29 O 0.1589 0.5857 0.6187
30 Li 0.2975 0.6192 0.8254
31 Li 0.7038 0.6328 0.3270
32 O 0.1850 0.0612 0.3763
33 Li 0.2222 0.3155 0.3497
34 O 0.4946 0.7632 0.4955
35 O 0.8052 0.6026 0.1275
36 Li 0.7778 0.6845 0.6503
37 Li 0.2962 0.3672 0.6730
38 P 0.2627 0.6613 0.4786
39 O 0.8671 0.1131 0.8207
40 O 0.1948 0.3974 0.8725

Summary:
For the total energy, the calculation gives -8.838 eV per atom. Its crystal system is triclinic. Its space-group type is P-1. The calculation puts the energy relative to the elements, uncorrected at -2445 meV/atom. The value obtained for the density of states at the Fermi level is 0.0 states/eV per cell.

First-principles (SCAN) data for CsNa2Sb2 at its PBEsol-relaxed geometry, as listed in Alexandria.

Cell: 5.3998 5.3998 7.2035 Å, 112.01 112.01 90.00°
Fractional coordinates of all 5 atoms:
1 Na 0.2500 0.7500 0.5000
2 Na 0.7500 0.2500 0.5000
3 Sb 0.3872 0.3872 0.7744
4 Cs 0.0000 0.0000 0.0000
5 Sb 0.6128 0.6128 0.2256

Summary:
The calculation puts the energy above the most stable polymorph in this dataset at 0.0 meV/atom. For the total energy, the calculation gives -24.603 eV per atom. Its crystal system is tetragonal. Its space-group type is I4/mmm. The calculation puts the energy relative to the elements, uncorrected at -451 meV/atom. The value obtained for the density of states at the Fermi level is 3.9 states/eV per cell.

Copy entry 1 word for word.
First-principles (SCAN) data for Li5NiP3O11 at its PBEsol-relaxed geometry, as listed in Alexandria.

Cell: 5.1948 8.3601 9.4432 Å, 84.56 89.59 86.61°
Fractional coordinates of all 40 atoms:
1 O 0.9837 0.2240 0.5809
2 Ni 0.5000 0.0000 0.5000
3 P 0.1985 0.2917 0.0166
4 O 0.3278 0.3744 0.1345
5 Li 0.7025 0.3808 0.1746
6 Li 0.4846 0.9822 0.1504
7 O 0.3286 0.5523 0.3610
8 O 0.9179 0.2501 0.0595
9 Ni 0.0000 0.0000 0.0000
10 O 0.0163 0.7760 0.4191
11 O 0.8411 0.4143 0.3813
12 P 0.0120 0.9434 0.3167
13 O 0.7259 0.9957 0.3079
14 O 0.3370 0.1252 0.9952
15 P 0.8015 0.7083 0.9834
16 O 0.5054 0.2368 0.5045
17 O 0.8150 0.9388 0.6237
18 O 0.0821 0.7499 0.9405
19 Li 0.5154 0.0178 0.8496
20 O 0.2741 0.0043 0.6921
21 O 0.6630 0.8748 0.0048
22 P 0.9880 0.0566 0.6833
23 O 0.6714 0.4477 0.6390
24 Li 0.1918 0.6050 0.1603
25 O 0.1329 0.8869 0.1793
26 P 0.7373 0.3387 0.5214
27 Li 0.8082 0.3950 0.8397
28 O 0.6722 0.6256 0.8655
29 O 0.1589 0.5857 0.6187
30 Li 0.2975 0.6192 0.8254
31 Li 0.7038 0.6328 0.3270
32 O 0.1850 0.0612 0.3763
33 Li 0.2222 0.3155 0.3497
34 O 0.4946 0.7632 0.4955
35 O 0.8052 0.6026 0.1275
36 Li 0.7778 0.6845 0.6503
37 Li 0.2962 0.3672 0.6730
38 P 0.2627 0.6613 0.4786
39 O 0.8671 0.1131 0.8207
40 O 0.1948 0.3974 0.8725

Summary:
For the total energy, the calculation gives -8.838 eV per atom. Its crystal system is triclinic. Its space-group type is P-1. The calculation puts the energy relative to the elements, uncorrected at -2445 meV/atom. The value obtained for the density of states at the Fermi level is 0.0 states/eV per cell.